Compound: LiNdY2Pd4
Source: the Alexandria database
Functional: GGA-PBE
Structure: optimized geometry

abc: 4.9113 4.9113 23.9895
angles: 90.00 90.00 120.00
Space group R-3m (No. 166, hexagonal axes)
Inequivalent atoms, fractional coordinates:
Li 0.0000 0.0000 0.0000
Nd 0.0000 0.0000 0.5000
Y 0.0000 0.0000 0.2595
Pd 0.0000 0.0000 0.1192
Pd 0.0000 0.0000 0.3783

Compound: LiNdZn3Pd
Source: the Alexandria database
Functional: GGA-PBE
Structure: optimized geometry

abc: 5.9520 12.8782 5.6476
angles: 90.00 90.00 90.00
Space group Cmcm (No. 63)
Inequivalent atoms, fractional coordinates:
Li 0.0000 0.0778 0.2500
Nd 0.0000 0.2932 0.2500
Zn 0.0000 0.1317 0.7500
Zn 0.2103 0.5000 0.0000
Pd 0.0000 0.3434 0.7500

Compound: LiNd2Zn2Pd5
Source: the Alexandria database
Functional: GGA-PBE
Structure: optimized geometry

abc: 9.8281 9.8281 3.8268
angles: 90.00 90.00 90.00
Space group P4/mbm (No. 127)
Inequivalent atoms, fractional coordinates:
Li 0.0000 0.0000 0.0000
Nd 0.1789 0.3211 0.0000
Zn 0.1184 0.6184 0.0000
Pd 0.0000 0.5000 0.5000
Pd 0.0656 0.7950 0.5000

Compound: LiNd2ZnPd6
Source: the Alexandria database
Functional: GGA-PBE
Structure: optimized geometry

abc: 5.5351 6.4687 6.4898
angles: 73.85 65.04 64.73
Space group P-1 (No. 2)
Inequivalent atoms, fractional coordinates:
Li 0.0000 0.0000 0.0000
Nd 0.4994 0.7502 0.2520
Zn 0.0000 0.5000 0.5000
Pd 0.0030 0.8006 0.6943
Pd 0.1759 0.5768 0.0695
Pd 0.4990 0.2011 0.3040

Compound: LiNdZn2Pd4
Source: the Alexandria database
Functional: GGA-PBE
Structure: optimized geometry

abc: 4.3743 4.3743 24.5181
angles: 90.00 90.00 120.00
Space group R-3m (No. 166, hexagonal axes)
Inequivalent atoms, fractional coordinates:
Li 0.0000 0.0000 0.0000
Nd 0.0000 0.0000 0.5000
Zn 0.0000 0.0000 0.2625
Pd 0.0000 0.0000 0.0999
Pd 0.0000 0.0000 0.3714

Compound: Li2Nd2ZnPd5
Source: the Alexandria database
Functional: GGA-PBE
Structure: optimized geometry

abc: 9.5914 9.5914 3.7572
angles: 90.00 90.00 90.00
Space group P4/mbm (No. 127)
Inequivalent atoms, fractional coordinates:
Li 0.1189 0.3811 0.0000
Nd 0.1807 0.6807 0.0000
Zn 0.0000 0.0000 0.0000
Pd 0.0000 0.5000 0.5000
Pd 0.0630 0.2041 0.5000

Values for V, A^3/atom, ordered as above
20.88 18.04 18.48 18.91 16.93 17.28
Values for electronic total energy, eV per cell, ordered as above
-138.75 -69.98 -91.58 -49.59 -104.79 -93.14
Values for N(E_F), states/eV/f.u., ordered as above
4.01 3.47 4.64 4.71 3.71 5.13